TaNbMo: optimized geometry, PBE.

a = 2.901 Å, b = 4.554 Å, c = 4.554 Å
α = 120.00°, β = 90.00°, γ = 90.00°
Atoms (fractional coordinates):
Mo: 0.662 0.333 0.667
Nb: 0.352 0.667 0.333
Ta: 0.985 0.000 0.000

Output
Formation energy ... -89 meV/atom
Spin magnetization ... 0.0 μB/cell